(1)
# TlB2Mo3 (PBE, relaxed)
# ρ in Mg/m³: 10.13
# Raw total energy in eV/f.u.: -48.721
# Crystal system: hexagonal
data_TlB2Mo3
_space_group_name_H-M_alt 'P 1'
_space_group_IT_number 1
_space_group_name_Hall 'P 1'
_cell_length_a 3.153
_cell_length_b 3.153
_cell_length_c 19.566
_cell_angle_alpha 90.00
_cell_angle_beta 90.00
_cell_angle_gamma 120.00
loop_
_atom_site_label
_atom_site_type_symbol
_atom_site_fract_x
_atom_site_fract_y
_atom_site_fract_z
Tl1 Tl 0.000 0.000 0.250
Tl2 Tl 0.000 0.000 0.750
B1 B 0.333 0.667 0.067
B2 B 0.333 0.667 0.433
B3 B 0.667 0.333 0.567
B4 B 0.667 0.333 0.933
Mo1 Mo 0.000 0.000 0.000
Mo2 Mo 0.000 0.000 0.500
Mo3 Mo 0.333 0.667 0.627
Mo4 Mo 0.333 0.667 0.873
Mo5 Mo 0.667 0.333 0.127
Mo6 Mo 0.667 0.333 0.373


(2)
# UBMo (PBE, relaxed)
# ρ in Mg/m³: 10.94
# Raw total energy in eV/f.u.: -25.062
# Crystal system: cubic
data_UBMo
_space_group_name_H-M_alt 'P 1'
_space_group_IT_number 1
_space_group_name_Hall 'P 1'
_cell_length_a 4.199
_cell_length_b 4.199
_cell_length_c 4.199
_cell_angle_alpha 60.00
_cell_angle_beta 60.00
_cell_angle_gamma 60.00
loop_
_atom_site_label
_atom_site_type_symbol
_atom_site_fract_x
_atom_site_fract_y
_atom_site_fract_z
U1 U 0.000 0.000 0.000
B1 B 0.250 0.250 0.250
Mo1 Mo 0.750 0.750 0.750


Which formula does entry 2 have?
UBMo


What is the raw total energy in the first record?
-48.721 eV/f.u.


Copy entry 1 word for word.
# TlB2Mo3 (PBE, relaxed)
# ρ in Mg/m³: 10.13
# Raw total energy in eV/f.u.: -48.721
# Crystal system: hexagonal
data_TlB2Mo3
_space_group_name_H-M_alt 'P 1'
_space_group_IT_number 1
_space_group_name_Hall 'P 1'
_cell_length_a 3.153
_cell_length_b 3.153
_cell_length_c 19.566
_cell_angle_alpha 90.00
_cell_angle_beta 90.00
_cell_angle_gamma 120.00
loop_
_atom_site_label
_atom_site_type_symbol
_atom_site_fract_x
_atom_site_fract_y
_atom_site_fract_z
Tl1 Tl 0.000 0.000 0.250
Tl2 Tl 0.000 0.000 0.750
B1 B 0.333 0.667 0.067
B2 B 0.333 0.667 0.433
B3 B 0.667 0.333 0.567
B4 B 0.667 0.333 0.933
Mo1 Mo 0.000 0.000 0.000
Mo2 Mo 0.000 0.000 0.500
Mo3 Mo 0.333 0.667 0.627
Mo4 Mo 0.333 0.667 0.873
Mo5 Mo 0.667 0.333 0.127
Mo6 Mo 0.667 0.333 0.373